The following is a PBE-GGA calculation of a geometry-optimized Dy2Ho5Th2 structure, from the Alexandria database.

Final energy: -0.362 Ry/atom
DOS(E_F): 1.4908 states/eV per atom

Geometry as POSCAR:
```
Dy2Ho5Th2
1.0
3.395 0.000 -0.700
-0.469 7.711 -2.275
0.808 -2.688 12.496
Ho Dy Th
5 2 2
direct
0.909 0.549 0.818 Ho
0.693 0.837 0.386 Ho
0.307 0.163 0.614 Ho
0.000 0.000 0.000 Ho
0.091 0.451 0.182 Ho
0.170 0.177 0.340 Dy
0.830 0.823 0.660 Dy
0.447 0.247 0.894 Th
0.553 0.753 0.106 Th
```